# Cs3Mg2SnCl9 PBE optimized geometry
data_Cs3Mg2SnCl9
_chemical_formula_sum 'Cs3 Mg2 Sn1 Cl9'
_cell_length_a 7.4741
_cell_length_b 7.4741
_cell_length_c 9.2065
_cell_angle_alpha 90.00
_cell_angle_beta 90.00
_cell_angle_gamma 120.00
_space_group_name_H-M_alt 'P -3 m 1'
_space_group_IT_number 164
_space_group_name_Hall '-P 3 2"'
loop_
_atom_site_label
_atom_site_fract_x
_atom_site_fract_y
_atom_site_fract_z
Cs1 0.0000 0.0000 0.0000
Cs2 0.3333 0.6667 0.6687
Mg1 0.3333 0.6667 0.1542
Sn1 0.0000 0.0000 0.5000
Cl1 0.0000 0.5000 0.0000
Cl2 0.1757 0.3513 0.3180
# - ΔE_f (raw): -1.761 eV per atom
# - Uncorrected energy: -3.52 eV per atom